Ba2ZnTcSe6 | PBE | relaxed

It has space group I4/mmm (No. 139), with a = 7.176 Å, b = 7.176 Å, c = 10.164 Å, α = 90.00°, β = 90.00° and γ = 90.00°. The distinct sites, in fractional coordinates, are Ba at (0.000, 0.500, 0.250), Zn at (0.000, 0.000, 0.000), Tc at (0.000, 0.000, 0.500), Se at (0.000, 0.000, 0.252) and Se at (0.248, 0.248, 0.500).

For the energy, the calculation gives -4.4220 eV/atom.